Run A
# Ba3NF

A relaxed structure of Ba3NF (PBE, Alexandria via LeMat-Bulk).

## Properties
Fermi-level density of states (states/eV per cell): 3.54

abc: 5.578 5.578 5.578
angles: 90.00 90.00 90.00
Each line ends with the local moment (μB).
Fractional coordinates of all 5 atoms:
N 0.000 0.000 0.000  -0.01
Ba 0.000 0.500 0.000  0.10
Ba 0.000 0.000 0.500  0.10
Ba 0.500 0.000 0.000  0.09
F 0.500 0.500 0.500  0.02

Run B
# Ba3NF

A relaxed structure of Ba3NF (PBE, Alexandria via LeMat-Bulk).

## Properties
Fermi-level density of states (states/eV per cell): 4.99

abc: 7.305 7.613 7.584
angles: 90.00 90.00 59.11
Fractional coordinates of all 10 atoms:
Ba 0.182 0.724 0.503
Ba 0.818 0.276 0.497
Ba 0.182 0.724 0.997
Ba 0.818 0.276 0.003
Ba 0.366 0.119 0.750
Ba 0.634 0.881 0.250
N 0.083 0.020 0.750
N 0.917 0.980 0.250
F 0.489 0.412 0.750
F 0.511 0.588 0.250

Ranked by calculated energy, most stable first: run B, run A.

Run A
# BaN2F

A relaxed structure of BaN2F (PBE, Alexandria via LeMat-Bulk).

## Properties
Fermi-level density of states (states/eV per cell): 2.24

abc: 3.527 3.527 10.753
angles: 80.56 80.56 90.00
Fractional coordinates of all 8 atoms:
N 0.375 0.125 0.250
N 0.375 0.625 0.250
N 0.375 0.625 0.750
N 0.875 0.625 0.750
Ba 0.000 0.000 0.000
Ba 0.750 0.250 0.500
F 0.500 0.500 0.000
F 0.250 0.750 0.500

Run B
# BaN2F

A relaxed structure of BaN2F (PBE, Alexandria via LeMat-Bulk).

## Properties
Fermi-level density of states (states/eV per cell): 3.30

abc: 4.645 4.645 4.645
angles: 60.00 60.00 60.00
Each line ends with the local moment (μB).
Fractional coordinates of all 4 atoms:
N 0.250 0.250 0.250  1.55
N 0.750 0.750 0.750  1.55
Ba 0.500 0.500 0.500  0.10
F 0.000 0.000 0.000  0.31

Run C
# BaN2F

A relaxed structure of BaN2F (PBE, Alexandria via LeMat-Bulk).

## Properties
Fermi-level density of states (states/eV per cell): 1.22

abc: 4.272 4.272 4.272
angles: 69.89 69.89 69.89
Each line ends with the local moment (μB).
Fractional coordinates of all 4 atoms:
N 0.802 0.802 0.802  1.03
N 0.198 0.198 0.198  1.03
Ba 0.500 0.500 0.500  0.06
F 0.000 0.000 0.000  -0.04

Ranked by calculated energy, most stable first: run A, run B, run C.

Run A
# BaNF6

A relaxed structure of BaNF6 (PBE, Alexandria via LeMat-Bulk).

## Properties
Fermi-level density of states (states/eV per cell): 3.16

abc: 5.170 5.170 5.523
angles: 62.09 62.09 60.00
Each line ends with the local moment (μB).
Fractional coordinates of all 8 atoms:
Ba 0.500 0.500 0.500  0.00
N 0.000 0.000 0.000  0.11
F 0.914 0.914 0.789  0.08
F 0.383 0.914 0.789  0.08
F 0.086 0.617 0.211  0.08
F 0.617 0.086 0.211  0.08
F 0.086 0.086 0.211  0.08
F 0.914 0.383 0.789  0.08

Run B
# BaNF6

A relaxed structure of BaNF6 (PBE, Alexandria via LeMat-Bulk).

## Properties
Fermi-level density of states (states/eV per cell): 7.01

abc: 7.086 7.086 7.752
angles: 57.08 57.08 77.58
Fractional coordinates of all 16 atoms:
Ba 0.000 0.500 0.000
Ba 0.500 0.000 0.000
N 0.000 0.500 0.500
N 0.500 0.000 0.500
F 0.858 0.858 0.884
F 0.142 0.142 0.116
F 0.280 0.280 0.481
F 0.720 0.720 0.519
F 0.144 0.649 0.503
F 0.856 0.351 0.497
F 0.649 0.144 0.503
F 0.351 0.856 0.497
F 0.149 0.644 0.205
F 0.851 0.356 0.795
F 0.356 0.851 0.795
F 0.644 0.149 0.205

Ranked by calculated energy, most stable first: run A, run B.

Run A
# BaNF3

A relaxed structure of BaNF3 (PBE, Alexandria via LeMat-Bulk).

## Properties
Fermi-level density of states (states/eV per cell): 10.82

abc: 5.062 5.062 5.062
angles: 90.00 90.00 90.00
Each line ends with the local moment (μB).
Fractional coordinates of all 5 atoms:
N 0.500 0.500 0.500  1.90
Ba 0.000 0.000 0.000  -0.07
F 0.000 0.500 0.000  -0.18
F 0.000 0.000 0.500  -0.43
F 0.500 0.000 0.000  -0.10

Run B
# BaNF3

A relaxed structure of BaNF3 (PBE, Alexandria via LeMat-Bulk).

## Properties
Fermi-level density of states (states/eV per cell): 0.93

abc: 4.206 4.206 4.206
angles: 90.00 90.00 90.00
Each line ends with the local moment (μB).
Fractional coordinates of all 5 atoms:
N 0.000 0.000 0.000  1.37
Ba 0.500 0.500 0.500  0.00
F 0.000 0.500 0.000  0.08
F 0.000 0.000 0.500  0.01
F 0.500 0.000 0.000  0.07

Ranked by calculated energy, most stable first: run B, run A.

Run A
# BaNbN2F

A relaxed structure of BaNbN2F (PBE, Alexandria via LeMat-Bulk).

## Properties
Fermi-level density of states (states/eV per cell): 2.25

abc: 4.179 4.179 4.343
angles: 90.00 90.00 90.00
Fractional coordinates of all 5 atoms:
Nb 0.000 0.000 0.000
N 0.000 0.500 0.000
N 0.500 0.000 0.000
Ba 0.500 0.500 0.500
F 0.000 0.000 0.500

Run B
# BaNbN2F

A relaxed structure of BaNbN2F (PBE, Alexandria via LeMat-Bulk).

## Properties
Fermi-level density of states (states/eV per cell): 5.93

abc: 4.670 4.670 4.655
angles: 90.00 90.00 90.00
Each line ends with the local moment (μB).
Fractional coordinates of all 5 atoms:
Nb 0.500 0.500 0.500  -2.48
N 0.000 0.500 0.000  0.37
N 0.500 0.000 0.000  0.37
Ba 0.000 0.000 0.000  -0.01
F 0.000 0.000 0.500  -0.01

Ranked by calculated energy, most stable first: run A, run B.